The following is a PBE calculation of crystalline Nd2Ni3Ge at its relaxed geometry, from the Alexandria database.

Structure (POSCAR):
```
Nd2Ni3Ge
1.0
3.966 0.000 0.000
0.000 4.089 0.000
0.000 0.000 7.181
Nd Ni Ge
2 3 1
direct
0.000 0.500 0.993 Nd
0.000 0.000 0.512 Nd
0.500 0.000 0.835 Ni
0.500 0.000 0.164 Ni
0.500 0.500 0.665 Ni
0.500 0.500 0.331 Ge
```

theoretical density: 7.7 Mg/m³
DFT formation energy: -486 meV/atom
DOS at the Fermi energy: 0.701 states/eV per atom
total magnetic moment: 0.0 μB/f.u.